VPdSe2 | GGA-PBE | optimized geometry

Output
ΔE_f (raw)	0.169	eV/atom
final energy	-20.60	eV for the cell shown

a = 8.0489 Å, b = 8.0489 Å, c = 8.0489 Å
α = 26.10°, β = 26.10°, γ = 26.10°
Fractional coordinates of all 4 atoms:
V (0.0000, 0.0000, 0.0000)
Pd (0.5000, 0.5000, 0.5000)
Se (0.1036, 0.1036, 0.1036)
Se (0.8964, 0.8964, 0.8964)

Ga2NiPt | GGA-PBE | optimized geometry

Output
DFT formation energy	-0.440	eV/atom
final energy	-39.27	eV for the cell shown

a = 2.7642 Å, b = 6.7186 Å, c = 7.1138 Å
α = 108.17°, β = 90.04°, γ = 101.59°
Fractional coordinates of all 8 atoms:
Ga (0.0907, 0.1835, 0.3880)
Ga (0.1386, 0.2810, 0.9684)
Ga (0.8614, 0.7190, 0.0316)
Ga (0.9093, 0.8165, 0.6120)
Ni (0.4309, 0.8579, 0.3228)
Ni (0.5691, 0.1421, 0.6772)
Pt (0.2679, 0.5311, 0.7170)
Pt (0.7321, 0.4689, 0.2830)

RhCl4 | GGA-PBE | optimized geometry

Output
ΔE_f (raw)	0.239	eV/atom
final energy	-13.54	eV for the cell shown

a = 5.1682 Å, b = 5.1682 Å, c = 5.1682 Å
α = 109.47°, β = 109.47°, γ = 109.47°
Fractional coordinates of all 5 atoms:
Rh (0.0000, 0.0000, 0.0000)
Cl (0.0000, 0.0000, 0.5000)
Cl (0.0000, 0.5000, 0.0000)
Cl (0.5000, 0.0000, 0.0000)
Cl (0.5000, 0.5000, 0.5000)

LaSbSe2 | GGA-PBE | optimized geometry

Output
ΔE_f (raw)	-1.042	eV/atom
final energy	-20.19	eV for the cell shown

a = 4.1127 Å, b = 4.3154 Å, c = 5.9696 Å
α = 90.00°, β = 90.00°, γ = 90.00°
Fractional coordinates of all 4 atoms:
La (0.0000, 0.0000, 0.0000)
Sb (0.0000, 0.5000, 0.5000)
Se (0.5000, 0.0000, 0.5000)
Se (0.5000, 0.5000, 0.0000)